No. 1
Computed, not measured: crystalline SrOsW at its relaxed geometry at the PBE level of DFT.

Cell: 4.574 4.574 4.574 Å, 60.00 60.00 60.00°
Fractional positions:
Os 0.000 0.000 0.000
Sr 0.250 0.250 0.250
W 0.750 0.750 0.750

Summary:
crystal system	cubic
energy relative to the lowest polymorph listed for this composition	0	meV/atom



No. 2
Computed, not measured: crystalline Y2Ta4Sb3N3 at its relaxed geometry at the PBE level of DFT.

Cell: 5.945 5.945 13.749 Å, 102.53 102.53 60.66°
Fractional positions:
Sb 0.582 0.797 0.251
Sb 0.957 0.043 0.250
Sb 0.203 0.418 0.249
Sb 0.797 0.582 0.751
Sb 0.418 0.203 0.749
Sb 0.043 0.957 0.750
Ta 0.029 0.191 0.574
Ta 0.191 0.029 0.074
Ta 0.971 0.809 0.426
Ta 0.139 0.307 0.926
Ta 0.861 0.693 0.074
Ta 0.307 0.139 0.426
Ta 0.809 0.971 0.926
Ta 0.693 0.861 0.574
N 0.333 0.832 0.500
N 0.500 0.000 0.000
N 0.832 0.333 0.000
N 0.168 0.667 0.000
N 0.000 0.500 0.500
N 0.667 0.168 0.500
Y 0.533 0.371 0.101
Y 0.467 0.629 0.899
Y 0.371 0.533 0.601
Y 0.629 0.467 0.399

Summary:
crystal system	monoclinic
total DFT energy (no corrections)	-8.788	eV per atom



No. 3
Computed, not measured: crystalline KBeNiBi at its relaxed geometry at the PBE level of DFT.

Cell: 4.905 4.905 4.905 Å, 60.00 60.00 60.00°
Fractional positions:
Ni 0.500 0.500 0.500
K 0.250 0.250 0.250
Bi 0.000 0.000 0.000
Be 0.750 0.750 0.750

Summary:
crystal system	cubic
energy relative to the lowest polymorph listed for this composition	156	meV/atom



No. 4
Computed, not measured: crystalline SmOsPb at its relaxed geometry at the PBE level of DFT.

Cell: 4.873 4.873 4.873 Å, 60.00 60.00 60.00°
Fractional positions:
Os 0.250 0.250 0.250
Pb 0.750 0.750 0.750
Sm 0.000 0.000 0.000

Summary:
crystal system	cubic
total DFT energy (no corrections)	-5.621	eV per atom



No. 5
Computed, not measured: crystalline Pm2Sb at its relaxed geometry at the PBE level of DFT.

Cell: 9.699 9.699 9.699 Å, 60.00 60.00 60.00°
Last column: magnetic moment on the atom in μB.
Fractional positions:
Pm 0.125 0.125 0.625  0.47
Pm 0.625 0.125 0.125  0.42
Pm 0.125 0.125 0.125  0.47
Pm 0.125 0.625 0.125  0.48
Sb 0.000 0.000 0.000  -0.01
Sb 0.250 0.250 0.250  -0.01

Summary:
crystal system	cubic
energy relative to the lowest polymorph listed for this composition	1605	meV/atom



No. 6
Computed, not measured: crystalline Sr2Re2O5 at its relaxed geometry at the PBE level of DFT.

Cell: 7.502 3.943 3.943 Å, 90.00 90.00 90.00°
Fractional positions:
O 0.780 0.000 0.500
O 0.780 0.500 0.000
O 0.220 0.500 0.000
O 0.220 0.000 0.500
O 0.500 0.500 0.500
Re 0.792 0.500 0.500
Re 0.208 0.500 0.500
Sr 0.000 0.000 0.000
Sr 0.500 0.000 0.000

Summary:
crystal system	tetragonal
energy relative to the lowest polymorph listed for this composition	0	meV/atom



No. 7
Computed, not measured: crystalline CsHfB4 at its relaxed geometry at the PBE level of DFT.

Cell: 5.476 5.476 5.476 Å, 147.05 118.91 71.18°
Fractional positions:
B 0.102 0.760 0.342
B 0.898 0.240 0.658
B 0.417 0.760 0.658
B 0.583 0.240 0.342
Hf 0.500 0.500 0.000
Cs 0.000 0.000 0.000

Summary:
crystal system	orthorhombic
energy relative to the lowest polymorph listed for this composition	862	meV/atom



No. 8
Computed, not measured: crystalline Ba2AgAs2Au at its relaxed geometry at the PBE level of DFT.

Cell: 4.642 4.642 9.066 Å, 90.00 90.00 120.00°
Fractional positions:
As 0.667 0.333 0.998
As 0.333 0.667 0.498
Au 0.667 0.333 0.502
Ba 0.000 0.000 0.750
Ba 0.000 0.000 0.251
Ag 0.333 0.667 0.002

Summary:
crystal system	trigonal
total DFT energy (no corrections)	-4.071	eV per atom



No. 9
Computed, not measured: crystalline TbScCd at its relaxed geometry at the PBE level of DFT.

Cell: 4.928 4.928 4.928 Å, 60.00 60.00 60.00°
Fractional positions:
Cd 0.250 0.250 0.250
Sc 0.000 0.000 0.000
Tb 0.750 0.750 0.750

Summary:
crystal system	cubic
calculated formation energy	0.448	eV/atom



No. 10
Computed, not measured: crystalline LiCuNiTe3 at its relaxed geometry at the PBE level of DFT.

Cell: 6.742 6.742 10.336 Å, 90.00 90.00 32.66°
Fractional positions:
Te 0.637 0.637 0.973
Te 0.920 0.920 0.750
Te 0.363 0.363 0.027
Te 0.637 0.637 0.527
Te 0.363 0.363 0.473
Te 0.080 0.080 0.250
Li 0.776 0.776 0.250
Li 0.224 0.224 0.750
Cu 0.444 0.444 0.250
Cu 0.556 0.556 0.750
Ni 0.000 0.000 0.500
Ni 0.000 0.000 0.000

Summary:
crystal system	orthorhombic
total DFT energy (no corrections)	-3.669	eV per atom



No. 11
Computed, not measured: crystalline Co3SnPd3 at its relaxed geometry at the PBE level of DFT.

Cell: 5.327 5.327 5.327 Å, 61.44 61.44 61.44°
Last column: magnetic moment on the atom in μB.
Fractional positions:
Co 0.000 0.000 0.500  1.62
Co 0.500 0.000 0.000  1.82
Co 0.000 0.500 0.000  1.87
Sn 0.000 0.000 0.000  -0.06
Pd 0.500 0.000 0.500  0.18
Pd 0.500 0.500 0.000  0.15
Pd 0.000 0.500 0.500  0.15

Summary:
crystal system	trigonal
energy relative to the lowest polymorph listed for this composition	111	meV/atom



No. 12
Computed, not measured: crystalline Ta2Nb4Si3C3 at its relaxed geometry at the PBE level of DFT.

Cell: 5.588 5.588 12.844 Å, 102.59 102.59 60.00°
Fractional positions:
Ta 0.468 0.637 0.904
Ta 0.532 0.363 0.096
Ta 0.363 0.532 0.596
Ta 0.637 0.468 0.404
Si 0.416 0.253 0.750
Si 0.915 0.085 0.250
Si 0.085 0.915 0.750
Si 0.253 0.416 0.250
Si 0.584 0.747 0.250
Si 0.747 0.584 0.750
Nb 0.132 0.301 0.902
Nb 0.802 0.966 0.902
Nb 0.868 0.699 0.098
Nb 0.699 0.868 0.598
Nb 0.301 0.132 0.402
Nb 0.034 0.198 0.598
Nb 0.966 0.802 0.402
Nb 0.198 0.034 0.098
C 0.828 0.336 0.000
C 0.336 0.828 0.500
C 0.000 0.500 0.500
C 0.500 0.000 0.000
C 0.664 0.172 0.500
C 0.172 0.664 0.000

Summary:
crystal system	monoclinic
total DFT energy (no corrections)	-9.541	eV per atom



No. 13
Computed, not measured: crystalline HfZnPd at its relaxed geometry at the PBE level of DFT.

Cell: 4.431 4.431 4.431 Å, 60.00 60.00 60.00°
Fractional positions:
Hf 0.000 0.000 0.000
Zn 0.750 0.750 0.750
Pd 0.250 0.250 0.250

Summary:
crystal system	cubic
calculated formation energy	0.061	eV/atom



No. 14
Computed, not measured: crystalline LiCuSnIr at its relaxed geometry at the PBE level of DFT.

Cell: 4.414 4.414 4.414 Å, 60.00 60.00 60.00°
Fractional positions:
Sn 0.000 0.000 0.000
Ir 0.250 0.250 0.250
Li 0.500 0.500 0.500
Cu 0.750 0.750 0.750

Summary:
crystal system	cubic
energy relative to the lowest polymorph listed for this composition	0	meV/atom



No. 15
Computed, not measured: crystalline Sm3In3IrPt2 at its relaxed geometry at the PBE level of DFT.

Cell: 7.653 7.653 4.024 Å, 90.00 90.00 120.00°
Fractional positions:
In 0.000 0.749 0.000
In 0.251 0.251 0.000
In 0.749 0.000 0.000
Sm 0.000 0.406 0.500
Sm 0.594 0.594 0.500
Sm 0.406 0.000 0.500
Ir 0.000 0.000 0.500
Pt 0.333 0.667 0.000
Pt 0.667 0.333 0.000

Summary:
crystal system	hexagonal
total DFT energy (no corrections)	-5.692	eV per atom



No. 16
Computed, not measured: crystalline Pm2GdN3 at its relaxed geometry at the PBE level of DFT.

Cell: 3.567 3.567 8.735 Å, 90.00 90.00 120.00°
Fractional positions:
Gd 0.000 0.000 0.500
Pm 0.667 0.333 0.169
Pm 0.333 0.667 0.831
N 0.667 0.333 0.662
N 0.333 0.667 0.338
N 0.000 0.000 0.000

Summary:
crystal system	trigonal
total DFT energy (no corrections)	-8.012	eV per atom



No. 17
Computed, not measured: crystalline Zr3CuN2 at its relaxed geometry at the PBE level of DFT.

Cell: 3.282 3.282 18.617 Å, 90.00 90.00 120.00°
Fractional positions:
Zr 0.667 0.333 0.140
Zr 0.333 0.667 0.860
Zr 0.333 0.667 0.640
Zr 0.000 0.000 0.500
Zr 0.000 0.000 0.000
Zr 0.667 0.333 0.360
N 0.333 0.667 0.427
N 0.333 0.667 0.073
N 0.667 0.333 0.927
N 0.667 0.333 0.573
Cu 0.000 0.000 0.250
Cu 0.000 0.000 0.750

Summary:
crystal system	hexagonal
total DFT energy (no corrections)	-8.746	eV per atom



No. 18
Computed, not measured: crystalline CoRe at its relaxed geometry at the PBE level of DFT.

Cell: 4.827 4.827 7.655 Å, 90.00 90.00 121.55°
Last column: magnetic moment on the atom in μB.
Fractional positions:
Co 0.820 0.669 0.750  0.03
Co 0.180 0.331 0.250  0.03
Co 0.000 0.000 0.000  0.40
Co 0.000 0.000 0.500  0.40
Co 0.331 0.180 0.750  0.03
Co 0.669 0.820 0.250  0.03
Re 0.655 0.345 0.438  0.01
Re 0.345 0.655 0.938  0.01
Re 0.345 0.655 0.562  0.01
Re 0.818 0.182 0.750  0.01
Re 0.655 0.345 0.062  0.01
Re 0.182 0.818 0.250  0.01

Summary:
crystal system	orthorhombic
calculated formation energy	0.131	eV/atom



No. 19
Computed, not measured: crystalline KRbAgSb at its relaxed geometry at the PBE level of DFT.

Cell: 6.514 6.858 6.858 Å, 104.59 90.00 90.00°
Fractional positions:
Ag 0.249 0.998 0.998
Ag 0.751 0.998 0.998
Rb 0.500 0.176 0.518
Rb 0.500 0.518 0.176
K 0.000 0.486 0.825
K 0.000 0.825 0.486
Sb 0.000 0.259 0.259
Sb 0.500 0.739 0.739

Summary:
crystal system	orthorhombic
energy relative to the lowest polymorph listed for this composition	4	meV/atom



No. 20
Computed, not measured: crystalline KGdErNi2 at its relaxed geometry at the PBE level of DFT.

Cell: 3.703 9.157 9.157 Å, 25.50 90.00 90.00°
Fractional positions:
Er 0.000 0.671 0.671
Ni 0.500 0.206 0.206
Ni 0.500 0.790 0.790
K 0.500 0.002 0.002
Gd 0.000 0.331 0.331

Summary:
crystal system	orthorhombic
total DFT energy (no corrections)	-4.450	eV per atom



No. 21
Computed, not measured: crystalline TaNiP at its relaxed geometry at the PBE level of DFT.

Cell: 6.104 3.576 7.114 Å, 90.00 90.00 90.00°
Fractional positions:
P 0.782 0.750 0.876
P 0.718 0.250 0.376
P 0.218 0.250 0.124
P 0.282 0.750 0.624
Ta 0.522 0.750 0.166
Ta 0.478 0.250 0.834
Ta 0.022 0.750 0.334
Ta 0.978 0.250 0.666
Ni 0.350 0.250 0.432
Ni 0.850 0.250 0.068
Ni 0.150 0.750 0.932
Ni 0.650 0.750 0.568

Summary:
crystal system	orthorhombic
total DFT energy (no corrections)	-8.372	eV per atom



No. 22
Computed, not measured: crystalline NiHgSbIr at its relaxed geometry at the PBE level of DFT.

Cell: 4.639 4.639 4.639 Å, 60.00 60.00 60.00°
Fractional positions:
Ir 0.500 0.500 0.500
Sb 0.000 0.000 0.000
Ni 0.750 0.750 0.750
Hg 0.250 0.250 0.250

Summary:
crystal system	cubic
total DFT energy (no corrections)	-4.161	eV per atom



No. 23
Computed, not measured: crystalline PaAlPO at its relaxed geometry at the PBE level of DFT.

Cell: 3.841 3.841 9.179 Å, 90.00 90.00 90.00°
Last column: magnetic moment on the atom in μB.
Fractional positions:
O 0.500 0.500 0.000  -0.03
O 0.000 0.000 0.000  -0.03
P 0.500 0.000 0.294  -0.01
P 0.000 0.500 0.706  -0.01
Pa 0.000 0.500 0.153  0.94
Pa 0.500 0.000 0.847  0.94
Al 0.000 0.000 0.500  -0.01
Al 0.500 0.500 0.500  -0.01

Summary:
crystal system	tetragonal
energy relative to the lowest polymorph listed for this composition	36	meV/atom



No. 24
Computed, not measured: crystalline PrHoAl2Pt4 at its relaxed geometry at the PBE level of DFT.

Cell: 4.365 4.365 9.478 Å, 90.00 90.00 120.00°
Fractional positions:
Al 0.333 0.667 0.242
Al 0.333 0.667 0.758
Pt 0.667 0.333 0.840
Pt 0.667 0.333 0.160
Pt 0.000 0.000 0.316
Pt 0.000 0.000 0.684
Ho 0.000 0.000 0.000
Pr 0.667 0.333 0.500

Summary:
crystal system	hexagonal
total DFT energy (no corrections)	-6.274	eV per atom